## Co2OsAu (GGA-PBE)

Data for crystalline Co2OsAu at its relaxed geometry.

Formation enthalpy at 0 K in kJ/mol of formula units: 186
Raw total energy in eV per cell: -26.8

Cell: 4.2517 4.2517 4.2517 Å, 60.00 60.00 60.00°
With the nearest neighbours (Å) after each atom.
Element x y z (fractional)
Co 0.2500 0.2500 0.2500  4 Os 2.60, 4 Au 2.60
Co 0.7500 0.7500 0.7500  4 Os 2.60, 4 Au 2.60
Os 0.0000 0.0000 0.0000  8 Co 2.60
Au 0.5000 0.5000 0.5000  8 Co 2.60

***

## Co2OsAu (GGA-PBE)

Data for crystalline Co2OsAu at its relaxed geometry.

Formation enthalpy at 0 K in kJ/mol of formula units: 82
Raw total energy in eV per cell: -27.9

Cell: 2.6954 2.6954 7.3554 Å, 90.00 90.00 90.00°
With the nearest neighbours (Å) after each atom.
Element x y z (fractional)
Co 0.0000 0.0000 0.2276  4 Os 2.54, 4 Co 2.70, 4 Au 2.77
Co 0.0000 0.0000 0.7724  4 Os 2.54, 4 Co 2.70, 4 Au 2.77
Os 0.5000 0.5000 0.0000  8 Co 2.54, 4 Os 2.70
Au 0.5000 0.5000 0.5000  4 Au 2.70, 8 Co 2.77

***

## Co2OsAu (GGA-PBE)

Data for crystalline Co2OsAu at its relaxed geometry.

Formation enthalpy at 0 K in kJ/mol of formula units: 172
Raw total energy in eV per cell: -26.9

Cell: 5.2517 5.2517 5.2517 Å, 150.30 129.59 59.61°
With the nearest neighbours (Å) after each atom.
Element x y z (fractional)
Co 0.0000 0.0000 0.0000  2 Co 2.39, 2 Os 2.55, 4 Au 2.62
Co 0.7832 0.2832 0.5000  2 Co 2.39, 4 Os 2.64
Os 0.2377 0.7377 0.5000  6 Co 2.55-2.64, 2 Os 2.69
Au 0.5193 0.5193 0.0000  6 Co 2.62-2.76, 2 Au 2.69, 2 Os 2.90

***

## CoOs2Au (GGA-PBE)

Data for crystalline CoOs2Au at its relaxed geometry.

Formation enthalpy at 0 K in kJ/mol of formula units: 262
Raw total energy in eV per cell: -30.1

Cell: 2.7580 4.5878 4.6774 Å, 90.00 90.00 90.00°
With the nearest neighbours (Å) after each atom.
Element x y z (fractional)
Co 0.0000 0.0000 0.0000  4 Au 2.68, 4 Os 2.71, 2 Co 2.76
Os 0.0000 0.5000 0.5000  6 Os 2.68-2.76, 4 Au 2.71
Os 0.5000 0.0000 0.5000  6 Os 2.68-2.76, 4 Co 2.71
Au 0.5000 0.5000 0.0000  4 Co 2.68, 4 Os 2.71, 2 Au 2.76

***

## CoOs3Au (GGA-PBE)

Data for crystalline CoOs3Au at its relaxed geometry.

Formation enthalpy at 0 K in kJ/mol of formula units: 912
Raw total energy in eV per cell: -34.6

Cell: 4.4158 4.4158 4.4158 Å, 90.00 90.00 90.00°
With the nearest neighbours (Å) after each atom.
Element x y z (fractional)
Co 0.0000 0.0000 0.0000  6 Os 2.21
Os 0.0000 0.0000 0.5000  2 Co 2.21
Os 0.0000 0.5000 0.0000  2 Co 2.21
Os 0.5000 0.0000 0.0000  2 Co 2.21
Au 0.5000 0.5000 0.5000  12 Os 3.12

***

## CoOs4Au (GGA-PBE)

Data for crystalline CoOs4Au at its relaxed geometry.

Formation enthalpy at 0 K in kJ/mol of formula units: 564
Raw total energy in eV per cell: -49.5

Cell: 5.1413 5.1413 5.1413 Å, 60.00 60.00 60.00°
With the nearest neighbours (Å) after each atom.
Element x y z (fractional)
Co 0.0000 0.0000 0.0000  12 Os 3.01, 4 Au 3.15
Os 0.1247 0.6251 0.6251  6 Os 2.57
Os 0.6251 0.1247 0.6251  6 Os 2.57
Os 0.6251 0.6251 0.1247  6 Os 2.57
Os 0.6251 0.6251 0.6251  6 Os 2.57
Au 0.2500 0.2500 0.2500  12 Os 3.01, 4 Co 3.15

***

## CoOs2Au (GGA-PBE)

Data for crystalline CoOs2Au at its relaxed geometry.

Formation enthalpy at 0 K in kJ/mol of formula units: 365
Raw total energy in eV per cell: -58.1

Cell: 5.5982 5.5982 5.5982 Å, 101.32 101.32 127.39°
With the nearest neighbours (Å) after each atom.
Element x y z (fractional)
Co 0.0000 0.0000 0.0000  4 Os 2.32, 2 Au 2.48
Co 0.7500 0.2500 0.5000  4 Os 2.32, 2 Au 2.48
Os 0.0673 0.6250 0.9423  2 Co 2.32
Os 0.3750 0.3173 0.4423  2 Co 2.32
Os 0.6827 0.1250 0.0577  2 Co 2.32
Os 0.8750 0.9327 0.5577  2 Co 2.32
Au 0.2500 0.7500 0.5000  2 Co 2.48
Au 0.5000 0.5000 0.0000  2 Co 2.48

***

## CoOs2Au (GGA-PBE)

Data for crystalline CoOs2Au at its relaxed geometry.

Formation enthalpy at 0 K in kJ/mol of formula units: 175
Raw total energy in eV per cell: -31.0

Cell: 5.5378 5.5378 5.5378 Å, 151.60 133.23 55.63°
With the nearest neighbours (Å) after each atom.
Element x y z (fractional)
Co 0.0000 0.0000 0.0000  4 Os 2.50, 4 Au 2.58, 2 Co 2.72
Os 0.2137 0.7137 0.5000  2 Co 2.50, 6 Os 2.68-2.72
Os 0.7863 0.2863 0.5000  2 Co 2.50, 6 Os 2.68-2.72
Au 0.5000 0.5000 0.0000  4 Co 2.58, 2 Au 2.72

***

## CoOs2Au (GGA-PBE)

Data for crystalline CoOs2Au at its relaxed geometry.

Formation enthalpy at 0 K in kJ/mol of formula units: 231
Raw total energy in eV per cell: -30.5

Cell: 3.8075 3.8075 3.9370 Å, 90.00 90.00 90.00°
With the nearest neighbours (Å) after each atom.
Element x y z (fractional)
Co 0.0000 0.0000 0.0000  4 Au 2.69, 8 Os 2.74
Os 0.0000 0.5000 0.5000  4 Os 2.69, 4 Co 2.74, 4 Au 2.74
Os 0.5000 0.0000 0.5000  4 Os 2.69, 4 Co 2.74, 4 Au 2.74
Au 0.5000 0.5000 0.0000  4 Co 2.69, 8 Os 2.74

***

## Co2OsAu (GGA-PBE)

Data for crystalline Co2OsAu at its relaxed geometry.

Formation enthalpy at 0 K in kJ/mol of formula units: 181
Raw total energy in eV per cell: -26.8

Cell: 4.6900 4.6900 4.6900 Å, 132.88 132.88 68.85°
With the nearest neighbours (Å) after each atom.
Element x y z (fractional)
Co 0.0000 0.0000 0.0000  4 Au 2.65, 4 Co 2.69, 4 Os 2.69
Co 0.7500 0.2500 0.5000  4 Os 2.65, 4 Co 2.69, 4 Au 2.69
Os 0.2500 0.7500 0.5000  8 Co 2.65-2.69, 4 Au 2.69
Au 0.5000 0.5000 0.0000  8 Co 2.65-2.69, 4 Os 2.69

***

## CoOs2Au (GGA-PBE)

Data for crystalline CoOs2Au at its relaxed geometry.

Formation enthalpy at 0 K in kJ/mol of formula units: 120
Raw total energy in eV per cell: -31.6

Cell: 9.0659 9.0659 9.0659 Å, 17.40 17.40 17.40°
With the nearest neighbours (Å) after each atom.
Element x y z (fractional)
Co 0.0000 0.0000 0.0000  3 Os 2.59, 6 Co 2.74, 3 Au 2.76
Os 0.2570 0.2570 0.2570  3 Co 2.59, 9 Os 2.65-2.74
Os 0.5109 0.5109 0.5109  9 Os 2.65-2.74, 3 Au 2.96
Au 0.7511 0.7511 0.7511  6 Au 2.74, 3 Co 2.76, 3 Os 2.96

***

## Co2OsAu (GGA-PBE)

Data for crystalline Co2OsAu at its relaxed geometry.

Formation enthalpy at 0 K in kJ/mol of formula units: 314
Raw total energy in eV per cell: -50.9

Cell: 5.4308 5.4308 5.4308 Å, 104.15 104.15 120.74°
With the nearest neighbours (Å) after each atom.
Element x y z (fractional)
Co 0.0922 0.6250 0.9672  2 Os 2.31
Co 0.3750 0.3422 0.4672  2 Os 2.31
Co 0.6578 0.1250 0.0328  2 Os 2.31
Co 0.8750 0.9078 0.5328  2 Os 2.31
Os 0.0000 0.0000 0.0000  4 Co 2.31
Os 0.7500 0.2500 0.5000  4 Co 2.31
Au 0.2500 0.7500 0.5000  4 Co 2.61, 2 Os 2.68
Au 0.5000 0.5000 0.0000  4 Co 2.61, 2 Os 2.68